Computed, not measured: an optimized crystal structure of ZrBeSeBr2 at the PBE level of DFT.

Unit cell a=4.6272 b=4.6272 c=4.9422 alpha=90.00 beta=90.00 gamma=90.00
Closest atoms and distances in Å follow each position.
Fractional coordinates of all 5 atoms:
1 Br 0.5000 0.0000 0.0000  2 Be 2.31
2 Br 0.0000 0.5000 0.0000  2 Be 2.31
3 Se 0.0000 0.0000 0.5000  2 Be 2.47
4 Zr 0.5000 0.5000 0.5000  4 Se 3.27, 8 Br 3.39
5 Be 0.0000 0.0000 0.0000  4 Br 2.31, 2 Se 2.47

Computed properties:
* space-group type: P4/mmm
* VASP energy: -3.910 eV/atom
* excess energy over the best structure of this formula in the dataset: 66 meV per atom

=====

Computed, not measured: an optimized crystal structure of NaRe2H at the PBE level of DFT.

Unit cell a=4.2149 b=4.2149 c=4.2149 alpha=60.00 beta=60.00 gamma=60.00
Closest atoms and distances in Å follow each position.
Fractional coordinates of all 4 atoms:
1 Re 0.2500 0.2500 0.2500  4 H 2.58, 4 Na 2.58
2 Re 0.7500 0.7500 0.7500  4 Na 2.58, 4 H 2.58
3 H 0.0000 0.0000 0.0000  8 Re 2.58
4 Na 0.5000 0.5000 0.5000  8 Re 2.58

Computed properties:
* space-group type: Fm-3m
* VASP energy: -5.179 eV/atom
* excess energy over the best structure of this formula in the dataset: 1214 meV per atom

=====

Computed, not measured: an optimized crystal structure of Ca6Tl3Cd at the PBE level of DFT.

Unit cell a=5.5703 b=9.5396 c=12.2299 alpha=109.04 beta=90.00 gamma=90.00
Closest atoms and distances in Å follow each position.
Fractional coordinates of all 20 atoms:
1 Tl 0.2500 0.5332 0.3796  8 Ca 3.26-3.53
2 Tl 0.7500 0.6138 0.2145  8 Ca 3.23-3.50
3 Tl 0.7500 0.2237 0.0257  10 Ca 3.34-3.69, 1 Tl 3.68
4 Tl 0.7500 0.4668 0.6204  8 Ca 3.26-3.53
5 Tl 0.2500 0.3862 0.7855  8 Ca 3.23-3.50
6 Tl 0.2500 0.7763 0.9743  10 Ca 3.34-3.69, 1 Tl 3.68
7 Cd 0.2500 0.9518 0.5993  8 Ca 3.20-3.39
8 Cd 0.7500 0.0482 0.4007  8 Ca 3.20-3.39
9 Ca 0.2500 0.2444 0.5004  4 Tl 3.30-3.53, 3 Cd 3.36-3.39
10 Ca 0.7500 0.1590 0.6855  3 Tl 3.28-3.50, 3 Cd 3.29-3.38
11 Ca 0.2500 0.1019 0.8742  1 Cd 3.20, 3 Tl 3.23-3.34, 3 Ca 3.49-3.55
12 Ca 0.7500 0.5262 0.9139  7 Tl 3.26-3.58, 4 Ca 3.62-3.65
13 Ca 0.2500 0.8410 0.3145  3 Tl 3.28-3.50, 3 Cd 3.29-3.38
14 Ca 0.2500 0.4738 0.0861  7 Tl 3.26-3.58, 4 Ca 3.62-3.65
15 Ca 0.7500 0.8981 0.1258  1 Cd 3.20, 3 Tl 3.23-3.34, 3 Ca 3.49-3.55
16 Ca 0.2500 0.6535 0.6726  1 Cd 3.25, 5 Tl 3.26-3.49, 2 Ca 3.60
17 Ca 0.2500 0.1400 0.1682  8 Ca 3.49-3.85, 4 Tl 3.51-3.80
18 Ca 0.7500 0.3465 0.3274  1 Cd 3.25, 5 Tl 3.26-3.49, 2 Ca 3.60
19 Ca 0.7500 0.8600 0.8318  8 Ca 3.49-3.85, 4 Tl 3.51-3.80
20 Ca 0.7500 0.7556 0.4996  4 Tl 3.30-3.53, 3 Cd 3.36-3.39

Computed properties:
* space-group type: P2_1/m
* VASP energy: -2.345 eV/atom

=====

Computed, not measured: an optimized crystal structure of SbSeI2N at the PBE level of DFT.

Unit cell a=5.4494 b=5.4494 c=5.8547 alpha=90.00 beta=90.00 gamma=90.00
Closest atoms and distances in Å follow each position.
Fractional coordinates of all 5 atoms:
1 I 0.5000 0.0000 0.0000  2 Se 2.72
2 I 0.0000 0.5000 0.0000  2 Se 2.72
3 Sb 0.0000 0.0000 0.5000  2 Se 2.93
4 N 0.5000 0.5000 0.5000  4 Sb 3.85, 8 I 4.00
5 Se 0.0000 0.0000 0.0000  4 I 2.72, 2 Sb 2.93

Computed properties:
* space-group type: P4/mmm
* VASP energy: -2.032 eV/atom
* excess energy over the best structure of this formula in the dataset: 896 meV per atom

=====

Computed, not measured: an optimized crystal structure of ScSbTeI2 at the PBE level of DFT.

Unit cell a=5.5918 b=5.5918 c=5.9356 alpha=90.00 beta=90.00 gamma=90.00
Closest atoms and distances in Å follow each position.
Fractional coordinates of all 5 atoms:
1 I 0.0000 0.5000 0.0000  2 Sc 2.80
2 I 0.5000 0.0000 0.0000  2 Sc 2.80
3 Sb 0.5000 0.5000 0.5000  4 Te 3.95, 8 I 4.08
4 Te 0.0000 0.0000 0.5000  2 Sc 2.97
5 Sc 0.0000 0.0000 0.0000  4 I 2.80, 2 Te 2.97

Computed properties:
* space-group type: P4/mmm
* VASP energy: -3.574 eV/atom
* excess energy over the best structure of this formula in the dataset: 0 meV per atom

=====

Computed, not measured: an optimized crystal structure of RbLiMnCl6 at the PBE level of DFT.

Unit cell a=6.4190 b=6.4193 c=7.2961 alpha=90.00 beta=90.00 gamma=60.00
Closest atoms and distances in Å follow each position.
Fractional coordinates of all 9 atoms:
1 Cl 0.6128 0.3553 0.6822  1 Mn 2.29, 1 Li 2.56
2 Cl 0.6128 0.0318 0.3178  1 Mn 2.29, 1 Li 2.56
3 Cl 0.3553 0.0319 0.6822  1 Mn 2.29, 1 Li 2.56
4 Cl 0.0319 0.6128 0.6822  1 Mn 2.29, 1 Li 2.56
5 Cl 0.3553 0.6128 0.3178  1 Mn 2.29, 1 Li 2.56
6 Cl 0.0318 0.3553 0.3178  1 Mn 2.29, 1 Li 2.56
7 Mn 0.3333 0.3333 0.5000  6 Cl 2.29
8 Li 0.6666 0.6667 0.5000  6 Cl 2.56
9 Rb 0.9999 0.0001 0.0000  6 Cl 3.33

Computed properties:
* space-group type: P312
* VASP energy: -3.891 eV/atom